1.
Compound: YTmIn2
Source: Alexandria via LeMat-Bulk
Functional: GGA-PBE
Structure: optimized geometry

Cell: 3.6685 3.6685 29.0074 Å, 90.00 90.00 120.00°
Closest atoms and distances in Å follow each position.
Space group R-3m (No. 166, hexagonal axes)
Symmetry-distinct sites (fractional):
Y 0.0000 0.0000 0.0000 x3  6 In 3.23
Tm 0.0000 0.0000 0.5000 x3  6 In 3.20
In 0.0000 0.0000 0.2492 x6  3 Tm 3.20, 3 Y 3.23

Output
Its size of the total moment is 0.00 Bohr magnetons per cell. For the density of states at the Fermi level, the calculation gives 6.74 states/eV per cell. The energy of formation comes out at -334 meV/atom.

---

2.
Compound: Pm2YHg2
Source: Alexandria via LeMat-Bulk
Functional: GGA-PBE
Structure: optimized geometry

Cell: 8.6230 8.6230 3.9297 Å, 90.00 90.00 90.00°
Closest atoms and distances in Å follow each position.
Space group P4/mbm (No. 127)
Symmetry-distinct sites (fractional):
Pm 0.1660 0.3340 0.0000 x4  6 Hg 3.14-3.25
Y 0.0000 0.0000 0.5000 x2  4 Hg 3.37, 8 Pm 3.77
Hg 0.1328 0.6328 0.5000 x4  6 Pm 3.14-3.25, 1 Hg 3.24, 2 Y 3.37

Output
Its size of the total moment is 0.00 Bohr magnetons per cell. For the density of states at the Fermi level, the calculation gives 9.51 states/eV per cell. The energy of formation comes out at -377 meV/atom.

---

3.
Compound: CuW2Au
Source: Alexandria via LeMat-Bulk
Functional: GGA-PBE
Structure: optimized geometry

Cell: 6.3346 6.3346 6.3346 Å, 90.00 90.00 90.00°
Closest atoms and distances in Å follow each position.
Space group F-43m (No. 216)
Symmetry-distinct sites (fractional):
Cu 0.0000 0.0000 0.0000 x4  4 W 2.74, 4 Au 2.74
W 0.0000 0.0000 0.5000 x4  4 W 2.74, 4 Au 2.74
W 0.2500 0.2500 0.2500 x4  4 W 2.74, 4 Cu 2.74
Au 0.2500 0.2500 0.7500 x4  4 W 2.74, 4 Cu 2.74

Output
Its size of the total moment is 0.00 Bohr magnetons per cell. For the density of states at the Fermi level, the calculation gives 10.83 states/eV per cell. The energy of formation comes out at 544 meV/atom.